No. 1
Entry from the Alexandria database: a geometry-optimized Ag2GeSe2S structure (PBE-GGA).

Its uncorrected formation energy is -0.192 eV per atom. As for the calculated volume: 604.5 Å³ per cell. The value obtained for the density of states at the Fermi level is 0.078 states/eV per atom. As for the magnetic moment: 0.00 μB per cell.

The structure belongs to space group Cmc2_1 (No. 36); the cell edges are 12.457, 7.253 and 6.691 Å and the angles 90.00°, 90.00° and 90.00°. The asymmetric unit holds Ag at (0.146, 0.161, 0.000), Ge at (0.000, 0.344, 0.521), Se at (0.160, 0.191, 0.607) and S at (0.000, 0.362, 0.161).

No. 2
Entry from the Alexandria database: a geometry-optimized SiAg2GeS structure (PBE-GGA).

Its uncorrected formation energy is 0.697 eV per atom. As for the calculated volume: 115.3 Å³ per cell. The value obtained for the density of states at the Fermi level is 0.689 states/eV per atom. As for the magnetic moment: 0.07 μB per cell.

The structure belongs to space group P4/mmm (No. 123); the cell edges are 4.667, 4.667 and 5.294 Å and the angles 90.00°, 90.00° and 90.00°. The asymmetric unit holds Si at (0.000, 0.000, 0.000), Ag at (0.000, 0.500, 0.500), Ge at (0.500, 0.500, 0.000) and S at (0.500, 0.500, 0.500).

No. 3
Entry from the Alexandria database: a geometry-optimized SiAg2GeS4 structure (PBE-GGA).

Its uncorrected formation energy is -0.330 eV per atom. As for the calculated volume: 358.7 Å³ per cell. The value obtained for the density of states at the Fermi level is 0.000 states/eV per atom. As for the magnetic moment: 0.00 μB per cell.

The structure belongs to space group Pmn2_1 (No. 31); the cell edges are 8.789, 6.605 and 6.179 Å and the angles 90.00°, 90.00° and 90.00°. The asymmetric unit holds Si at (0.000, 0.162, 0.000), Ag at (0.248, 0.695, 0.006), Ge at (0.000, 0.798, 0.469), S at (0.000, 0.151, 0.355), S at (0.000, 0.857, 0.871) and S at (0.206, 0.310, 0.912).